1.
Compound: CuBr3
Source: Alexandria via LeMat-Bulk
Functional: PBE
Structure: optimized geometry

Fermi-level density of states, states/eV/cell: 2.6
Formation energy from raw total energies, kJ/mol of formula units: 41
Symmetry: Pmm2
Total moment, μB/f.u.: 0.00

abc: 4.1676 8.0898 3.9848
angles: 90.00 90.00 90.00
Fractional positions:
1 Br 0.0000 0.0000 0.9745
2 Cu 0.0000 0.5000 0.2232
3 Br 0.5000 0.5000 0.9945
4 Br 0.5000 0.0000 0.4745

=====

2.
Compound: CuBr3
Source: Alexandria via LeMat-Bulk
Functional: PBE
Structure: optimized geometry

Fermi-level density of states, states/eV/cell: 19.5
Formation energy from raw total energies, kJ/mol of formula units: 81
Symmetry: P6_3/mmc
Total moment, μB/f.u.: 0.00

abc: 8.4838 8.4838 6.6958
angles: 90.00 90.00 120.00
Fractional positions:
1 Cu 0.0000 0.0000 0.0000
2 Br 0.1271 0.2543 0.7500
3 Br 0.5000 0.0000 0.5000
4 Br 0.1271 0.8729 0.7500
5 Br 0.8729 0.1271 0.2500
6 Br 0.5000 0.0000 0.0000
7 Br 0.2543 0.1271 0.2500
8 Br 0.7457 0.8729 0.7500
9 Br 0.8729 0.7457 0.2500
10 Br 0.0000 0.5000 0.0000
11 Br 0.5000 0.5000 0.5000
12 Br 0.5000 0.5000 0.0000
13 Br 0.0000 0.5000 0.5000
14 Cu 0.3333 0.6667 0.2500
15 Cu 0.0000 0.0000 0.5000
16 Cu 0.6667 0.3333 0.7500

=====

3.
Compound: Cu2Br3
Source: Alexandria via LeMat-Bulk
Functional: PBE
Structure: optimized geometry

Fermi-level density of states, states/eV/cell: 4.6
Formation energy from raw total energies, kJ/mol of formula units: -140
Symmetry: Amm2
E above lowest polymorph, kJ per mole of atoms: 2.2
Total moment, μB/f.u.: 0.00

abc: 3.7269 7.0367 7.0367
angles: 120.59 90.00 90.00
Fractional positions:
1 Cu 0.5000 0.0848 0.9152
2 Br 0.0000 0.2063 0.7937
3 Br 0.5000 0.2122 0.3104
4 Br 0.5000 0.6896 0.7878
5 Cu 0.0000 0.4353 0.5647

=====

4.
Compound: CuBr5
Source: Alexandria via LeMat-Bulk
Functional: PBE
Structure: optimized geometry

Fermi-level density of states, states/eV/cell: 9.0
Formation energy from raw total energies, kJ/mol of formula units: 33
Symmetry: P-62m
E above lowest polymorph, kJ per mole of atoms: 8.3
Total moment, μB/f.u.: 0.08

abc: 10.1139 10.1139 2.7205
angles: 90.00 90.00 120.00
Fractional positions:
1 Br 0.6667 0.3333 0.5000
2 Br 0.0000 0.7807 0.0000
3 Br 0.7807 0.0000 0.0000
4 Br 0.3333 0.6667 0.5000
5 Br 0.2193 0.2193 0.0000
6 Cu 0.0000 0.0000 0.5000

=====

5.
Compound: Cu3Br4
Source: Alexandria via LeMat-Bulk
Functional: PBE
Structure: optimized geometry

Fermi-level density of states, states/eV/cell: 8.6
Formation energy from raw total energies, kJ/mol of formula units: -222
Symmetry: P-43m
E above lowest polymorph, kJ per mole of atoms: 0.0
Total moment, μB/f.u.: 0.00

abc: 5.6260 5.6260 5.6260
angles: 90.00 90.00 90.00
Fractional positions:
1 Br 0.2523 0.7477 0.2523
2 Cu 0.0000 0.0000 0.5000
3 Cu 0.5000 0.0000 0.0000
4 Br 0.7477 0.7477 0.7477
5 Br 0.2523 0.2523 0.7477
6 Br 0.7477 0.2523 0.2523
7 Cu 0.0000 0.5000 0.0000

=====

6.
Compound: DyCu2Br6
Source: Alexandria via LeMat-Bulk
Functional: PBE
Structure: optimized geometry

Fermi-level density of states, states/eV/cell: 12.7
Formation energy from raw total energies, kJ/mol of formula units: -840
Symmetry: C2/c
E above lowest polymorph, kJ per mole of atoms: 1.2
Total moment, μB/f.u.: 0.34

abc: 6.9016 9.5818 9.5818
angles: 78.87 84.33 84.33
Last column: magnetic moment on the atom in μB.
Fractional positions:
1 Br 0.1278 0.1298 0.6268  0.02
2 Br 0.8834 0.5305 0.7155  0.03
3 Cu 0.2254 0.5424 0.6909  0.10
4 Cu 0.7746 0.4576 0.3091  0.10
5 Br 0.1092 0.8208 0.9614  0.00
6 Br 0.3834 0.7155 0.5305  0.03
7 Dy 0.7500 0.9037 0.0963  0.00
8 Br 0.1166 0.4695 0.2845  0.03
9 Br 0.3722 0.3732 0.8702  0.02
10 Cu 0.2746 0.3091 0.4576  0.10
11 Cu 0.7254 0.6909 0.5424  0.10
12 Br 0.8908 0.1792 0.0386  0.00
13 Dy 0.2500 0.0963 0.9037  0.00
14 Br 0.6278 0.6268 0.1298  0.02
15 Br 0.8722 0.8702 0.3732  0.02
16 Br 0.3908 0.0386 0.1792  0.00
17 Br 0.6166 0.2845 0.4695  0.03
18 Br 0.6092 0.9614 0.8208  0.00

=====

Q: Which of these has the highest Fermi-level density of states?
A: number 2